The following is a PBE-GGA calculation of a relaxed structure of Tl2CuP, from the Alexandria database.

Results
Energy of formation from the pure elements ... 451 meV per atom
N(E_F) ... 2.74 states/eV per cell
Energy relative to the lowest polymorph listed for this composition ... 0.4869 eV per atom
Total magnetization ... 0.00 μB per cell
Electronic total energy ... -49.7 eV/cell

a b c (Å): 6.787 6.787 9.456
angles (deg): 90.00 90.00 90.00
Space group I-42d (No. 122)
Asymmetric unit:
1 Tl 0.249 0.250 0.125 (multiplicity 8)
2 Cu 0.000 0.000 0.500 (multiplicity 4)
3 P 0.000 0.000 0.000 (multiplicity 4)